# 1
This record from Alexandria via LeMat-Bulk describes PmGa2Cu after structural relaxation. The functional is PBE.

**ΔE_f**: -0.2868 eV/atom
**Size of the total moment**: 0.0 μB per cell
**Raw total energy**: -16.05 eV for the cell shown
**Theoretical density**: 7.614 Mg/m³

Cell lengths 3.3066, 3.3066, 6.9416 Å; angles 90.00, 90.00, 90.00 degrees
Atoms (fractional coordinates):
Cu1 0.5000 0.5000 0.0000
Ga1 0.0000 0.0000 0.1926
Ga2 0.0000 0.0000 0.8074
Pm1 0.5000 0.5000 0.5000

---

# 2
This record from Alexandria via LeMat-Bulk describes Pm5GaCu2 after structural relaxation. The functional is PBE.

**ΔE_f**: -0.2157 eV/atom
**Size of the total moment**: 0.0 μB per cell
**Raw total energy**: -73.40 eV for the cell shown
**Theoretical density**: 7.326 Mg/m³

Cell lengths 8.0570, 8.0570, 8.5966 Å; angles 117.94, 117.94, 90.00 degrees
Atoms (fractional coordinates):
Pm1 0.3037 0.8037 0.2918
Pm2 0.0119 0.5119 0.7082
Pm3 0.1963 0.0119 0.7082
Pm4 0.5000 0.5000 0.0000
Pm5 0.0000 0.0000 0.0000
Pm6 0.8037 0.9881 0.2918
Pm7 0.4881 0.3037 0.2918
Pm8 0.9881 0.4881 0.2918
Pm9 0.5119 0.6963 0.7082
Pm10 0.6963 0.1963 0.7082
Cu1 0.3738 0.8739 0.0000
Cu2 0.6261 0.1262 0.0000
Cu3 0.1261 0.3739 0.0000
Cu4 0.8738 0.6262 0.0000
Ga1 0.7500 0.7500 0.5000
Ga2 0.2500 0.2500 0.5000

---

# 3
This record from Alexandria via LeMat-Bulk describes PmGa2Cu after structural relaxation. The functional is PBE.

**ΔE_f**: -0.4851 eV/atom
**Size of the total moment**: 0.0 μB per cell
**Raw total energy**: -16.84 eV for the cell shown
**Theoretical density**: 7.231 Mg/m³

Cell lengths 4.1781, 4.1781, 5.8105 Å; angles 68.93, 68.93, 60.00 degrees
Atoms (fractional coordinates):
Cu1 0.5000 0.5000 0.5000
Ga1 0.2127 0.2127 0.3619
Ga2 0.7873 0.7873 0.6381
Pm1 0.0000 0.0000 0.0000

---

# 4
This record from Alexandria via LeMat-Bulk describes PmGa2Cu after structural relaxation. The functional is PBE.

**ΔE_f**: -0.2742 eV/atom
**Size of the total moment**: 0.0 μB per cell
**Raw total energy**: -16.00 eV for the cell shown
**Theoretical density**: 7.478 Mg/m³

Cell lengths 4.7810, 4.7810, 4.7810 Å; angles 60.00, 60.00, 60.00 degrees
Atoms (fractional coordinates):
Pm1 0.0000 0.0000 0.0000
Cu1 0.5000 0.5000 0.5000
Ga1 0.2500 0.2500 0.2500
Ga2 0.7500 0.7500 0.7500

---

# 5
This record from Alexandria via LeMat-Bulk describes PmGaCu after structural relaxation. The functional is PBE.

**ΔE_f**: -0.4884 eV/atom
**Size of the total moment**: 0.0 μB per cell
**Raw total energy**: -26.68 eV for the cell shown
**Theoretical density**: 7.577 Mg/m³

Cell lengths 4.4599, 5.6870, 5.6870 Å; angles 83.15, 66.91, 66.91 degrees
Atoms (fractional coordinates):
Ga1 0.6963 0.6167 0.9907
Ga2 0.3037 0.0093 0.3833
Pm1 0.5000 0.1813 0.8187
Pm2 0.0000 0.6109 0.3891
Cu1 0.7901 0.1905 0.2292
Cu2 0.2099 0.7708 0.8095

---

# 6
This record from Alexandria via LeMat-Bulk describes PmGa2Cu4 after structural relaxation. The functional is PBE.

**ΔE_f**: -0.2614 eV/atom
**Size of the total moment**: 0.0 μB per cell
**Raw total energy**: -29.02 eV for the cell shown
**Theoretical density**: 7.794 Mg/m³

Cell lengths 4.1535, 4.1535, 8.0468 Å; angles 75.04, 75.04, 60.00 degrees
Atoms (fractional coordinates):
Cu1 0.5565 0.5565 0.3306
Cu2 0.4435 0.4435 0.6694
Cu3 0.8576 0.8576 0.4271
Cu4 0.1424 0.1424 0.5729
Ga1 0.7492 0.7492 0.7522
Ga2 0.2507 0.2507 0.2478
Pm1 0.0000 0.0000 0.0000

---

# 7
This record from Alexandria via LeMat-Bulk describes Pm4GaCu3 after structural relaxation. The functional is PBE.

**ΔE_f**: -0.2630 eV/atom
**Size of the total moment**: 0.0 μB per cell
**Raw total energy**: -36.42 eV for the cell shown
**Theoretical density**: 7.330 Mg/m³

Cell lengths 3.7999, 4.5118, 11.1044 Å; angles 90.00, 90.00, 90.00 degrees
Atoms (fractional coordinates):
Pm1 0.0000 0.5000 0.8487
Pm2 0.0000 0.0000 0.1483
Pm3 0.5000 0.5000 0.3618
Pm4 0.5000 0.0000 0.6391
Cu1 0.5000 0.0000 0.9300
Cu2 0.0000 0.5000 0.5660
Cu3 0.0000 0.0000 0.4353
Ga1 0.5000 0.5000 0.0708

---

# 8
This record from Alexandria via LeMat-Bulk describes Pm6Ga5Cu after structural relaxation. The functional is PBE.

**ΔE_f**: -0.4889 eV/atom
**Size of the total moment**: 0.0 μB per cell
**Raw total energy**: -53.60 eV for the cell shown
**Theoretical density**: 7.219 Mg/m³

Cell lengths 5.1719, 7.3410, 8.1869 Å; angles 90.00, 71.59, 90.00 degrees
Atoms (fractional coordinates):
Pm1 0.8353 0.7526 0.3294
Pm2 0.8353 0.2474 0.3294
Pm3 0.5000 0.2456 0.0000
Pm4 0.5000 0.7544 0.0000
Pm5 0.1647 0.7526 0.6706
Pm6 0.1647 0.2474 0.6706
Ga1 0.0000 0.5000 0.0000
Ga2 0.3354 0.0000 0.3293
Ga3 0.6669 0.5000 0.6662
Ga4 0.6646 0.0000 0.6707
Ga5 0.3331 0.5000 0.3338
Cu1 0.0000 0.0000 0.0000

---

Number 1: V 75.90 Å³/f.u.. Number 2: V 208.95 Å³/f.u.. Number 3: V 79.91 Å³/f.u.. Number 4: V 77.28 Å³/f.u.. Number 5: V 60.98 Å³/f.u.. Number 6: V 114.76 Å³/f.u.. Number 7: V 190.38 Å³/f.u.. Number 8: V 294.92 Å³/f.u..